V5Ge5Ir | PBE | relaxed

```
11
Lattice="-3.772 1.940 -1.789 0.940 -4.794 -1.259 -4.451 -1.953 7.268" Properties=species:S:1:pos:R:3 pbc="T T T"
Ir 0.000 0.000 0.000
V -4.942 -0.779 3.653
Ge -1.484 -1.681 1.306
V -3.063 -3.332 2.845
Ge -3.886 -2.881 5.071
V -2.341 -4.028 0.567
V -4.220 -1.475 1.375
Ge -3.396 -1.927 -0.851
Ge -5.799 -3.126 2.914
V -2.225 -0.976 3.634
Ge -1.886 0.970 -0.894
```

Symmetry   C2/m, No. 12
D(E_F)   7.63 states/eV per cell
Raw total energy   -7.02 eV/atom
Formation enthalpy at 0 K   0.35 eV/f.u.
V   16.34 A^3/atom
Magnetization   0.0 μB per formula unit